# 1
Entry from the Open Quantum Materials Database: Ba2PrPO6 after structural relaxation (GGA-PBE).

* mass density: 6.56 Mg/m³
* space-group type: P4/mnc, No. 128
* final energy: -140.55 eV/cell

Cell lengths 5.792, 5.792, 8.190 Å; angles 90.00, 90.00, 90.00 degrees
Positions (direct):
Ba 0.000 0.500 0.250
Ba 0.000 0.500 0.750
Ba 0.500 0.000 0.250
Ba 0.500 0.000 0.750
Pr 0.000 0.000 0.000
Pr 0.500 0.500 0.500
P 0.000 0.000 0.500
P 0.500 0.500 0.000
O 0.000 0.000 0.286
O 0.000 0.000 0.714
O 0.213 0.215 0.500
O 0.215 0.787 0.500
O 0.285 0.287 0.000
O 0.287 0.715 0.000
O 0.500 0.500 0.214
O 0.500 0.500 0.786
O 0.713 0.285 0.000
O 0.715 0.713 0.000
O 0.785 0.213 0.500
O 0.787 0.785 0.500

# 2
Entry from the Open Quantum Materials Database: Pm2HfO3 after structural relaxation (GGA-PBE).

* mass density: 10.22 Mg/m³
* space-group type: P-3m1, No. 164
* final energy: -49.58 eV/cell

Cell lengths 3.371, 3.371, 8.526 Å; angles 90.00, 90.00, 120.00 degrees
Positions (direct):
Pm 0.333 0.667 0.323
Pm 0.667 0.333 0.677
Hf 0.000 0.000 0.000
O 0.000 0.000 0.500
O 0.333 0.667 0.876
O 0.667 0.333 0.124

# 3
Entry from the Open Quantum Materials Database: OsPd2 after structural relaxation (GGA-PBE).

* mass density: 3.97 Mg/m³
* space-group type: Fd-3m, No. 227
* calculated formation energy: 2.48 eV per atom
* energy relative to the lowest polymorph listed for this composition: 1650 meV/atom

Cell lengths 7.816, 7.816, 7.816 Å; angles 60.00, 60.00, 60.00 degrees
Positions (direct):
Os 0.125 0.125 0.125
Os 0.875 0.875 0.875
Pd 0.000 0.000 0.000
Pd 0.000 0.000 0.500
Pd 0.000 0.500 0.000
Pd 0.500 0.000 0.000

# 4
Entry from the Open Quantum Materials Database: DyPuW after structural relaxation (GGA-PBE).

* mass density: 12.64 Mg/m³
* space-group type: F-43m, No. 216
* calculated formation energy: 0.73 eV per atom
* energy relative to the lowest polymorph listed for this composition: 0 meV/atom

Cell lengths 6.770, 6.770, 6.770 Å; angles 90.00, 90.00, 90.00 degrees
Positions (direct):
Dy 0.000 0.000 0.000
Dy 0.000 0.500 0.500
Dy 0.500 0.000 0.500
Dy 0.500 0.500 0.000
Pu 0.000 0.000 0.500
Pu 0.000 0.500 0.000
Pu 0.500 0.000 0.000
Pu 0.500 0.500 0.500
W 0.250 0.250 0.750
W 0.250 0.750 0.250
W 0.750 0.250 0.250
W 0.750 0.750 0.750

# 5
Entry from the Open Quantum Materials Database: TbDy2As3 after structural relaxation (GGA-PBE).

* mass density: 7.92 Mg/m³
* space-group type: P-3m1, No. 164
* final energy: -37.01 eV/cell

Cell lengths 4.121, 4.121, 10.099 Å; angles 90.00, 90.00, 120.00 degrees
Positions (direct):
Tb 0.000 0.000 0.000
Dy 0.333 0.667 0.334
Dy 0.667 0.333 0.666
As 0.000 0.000 0.500
As 0.333 0.667 0.833
As 0.667 0.333 0.167

# 6
Entry from the Open Quantum Materials Database: ScBeSnIr after structural relaxation (GGA-PBE).

* mass density: 9.40 Mg/m³
* space-group type: F-43m, No. 216
* energy relative to the lowest polymorph listed for this composition: 47 meV/atom

Cell lengths 6.364, 6.364, 6.364 Å; angles 90.00, 90.00, 90.00 degrees
Positions (direct):
Sc 0.000 0.000 0.000
Sc 0.000 0.500 0.500
Sc 0.500 0.000 0.500
Sc 0.500 0.500 0.000
Be 0.250 0.250 0.250
Be 0.250 0.750 0.750
Be 0.750 0.250 0.750
Be 0.750 0.750 0.250
Sn 0.250 0.250 0.750
Sn 0.250 0.750 0.250
Sn 0.750 0.250 0.250
Sn 0.750 0.750 0.750
Ir 0.000 0.000 0.500
Ir 0.000 0.500 0.000
Ir 0.500 0.000 0.000
Ir 0.500 0.500 0.500

# 7
Entry from the Open Quantum Materials Database: DyTmPbC after structural relaxation (GGA-PBE).

* mass density: 10.12 Mg/m³
* space-group type: P-3m1, No. 164
* final energy: -48.13 eV/cell

Cell lengths 3.612, 3.612, 15.997 Å; angles 90.00, 90.00, 120.00 degrees
Positions (direct):
Dy 0.333 0.667 0.084
Dy 0.667 0.333 0.916
Tm 0.333 0.667 0.419
Tm 0.667 0.333 0.581
Pb 0.333 0.667 0.747
Pb 0.667 0.333 0.253
C 0.000 0.000 0.000
C 0.000 0.000 0.500

# 8
Entry from the Open Quantum Materials Database: NaYIn4Pd2 after structural relaxation (GGA-PBE).

* mass density: 7.20 Mg/m³
* space-group type: Amm2, No. 38
* final energy: -66.13 eV/cell

Cell lengths 7.857, 4.456, 10.330 Å; angles 90.00, 90.00, 90.00 degrees
Positions (direct):
Na 0.000 0.000 0.000
Na 0.000 0.500 0.500
Y 0.500 0.000 0.867
Y 0.500 0.500 0.367
In 0.195 0.000 0.291
In 0.195 0.500 0.791
In 0.299 0.000 0.576
In 0.299 0.500 0.076
In 0.701 0.000 0.576
In 0.701 0.500 0.076
In 0.805 0.000 0.291
In 0.805 0.500 0.791
Pd 0.000 0.000 0.719
Pd 0.000 0.500 0.219
Pd 0.500 0.000 0.153
Pd 0.500 0.500 0.653